# PBE KTaBr2Cl2O, relaxed
# E_tot   -5.269 eV per atom
# ρ   4.0 Mg/m³
# Space group   C2 (5)
# Energy above the most stable polymorph in this dataset   0 meV per atom
data_KTaBr2Cl2O
_symmetry_space_group_name_H-M 'P 1'
_symmetry_Int_Tables_number 1
_symmetry_space_group_name_Hall 'P 1'
_cell_length_a 7.142
_cell_length_b 7.142
_cell_length_c 7.497
_cell_angle_alpha 107.25
_cell_angle_beta 107.25
_cell_angle_gamma 32.06
loop_
_atom_site_label
_atom_site_fract_x
_atom_site_fract_y
_atom_site_fract_z
Br1 0.637 0.651 0.814
Br2 0.349 0.363 0.186
Cl1 0.618 0.631 0.337
Cl2 0.369 0.382 0.663
K1 0.995 0.005 0.000
Ta1 0.532 0.468 0.500
O1 0.000 0.000 0.500